The following is a DFT calculation (GGA+U) of a geometry-optimized Na2NiPCO7 structure.

Calculated values
space group: No. 7
N(E_F): 20.98 states/eV per cell

Lattice parameters (Å, degrees): 6.530 9.236 10.251 90.43 90.00 90.00
Atoms (fractional coordinates):
O 0.499 0.943 0.166
O 0.010 0.075 0.830
O 0.147 0.928 0.466
O 0.820 0.333 0.591
O 0.987 0.575 0.078
O 0.504 0.536 0.703
O 0.990 0.075 0.330
O 0.180 0.333 0.091
O 0.501 0.943 0.666
O 0.498 0.421 0.923
O 0.853 0.928 0.966
O 0.502 0.421 0.423
O 0.689 0.664 0.382
O 0.195 0.330 0.602
O 0.514 0.129 0.524
O 0.312 0.662 0.394
O 0.511 0.176 0.736
O 0.311 0.664 0.882
O 0.489 0.176 0.236
O 0.996 0.439 0.792
O 0.496 0.536 0.203
O 0.979 0.836 0.295
O 0.013 0.575 0.578
O 0.486 0.129 0.024
O 0.805 0.330 0.102
O 0.688 0.662 0.894
O 0.004 0.439 0.292
O 0.021 0.836 0.795
Ni 0.000 0.629 0.388
Ni 0.509 0.348 0.605
Ni 0.000 0.629 0.888
Ni 0.491 0.348 0.105
Na 0.235 0.253 0.382
Na 0.493 0.897 0.901
Na 0.239 0.257 0.869
Na 0.507 0.897 0.401
Na 0.265 0.746 0.632
Na 0.765 0.253 0.882
Na 0.735 0.746 0.132
Na 0.761 0.257 0.369
P 0.005 0.423 0.640
P 0.501 0.569 0.852
P 0.995 0.423 0.140
P 0.499 0.569 0.352
C 0.963 0.945 0.863
C 0.492 0.078 0.142
C 0.037 0.945 0.363
C 0.508 0.078 0.642

***

The following is a DFT calculation (GGA+U) of a geometry-optimized Na2NiPCO7 structure.

Calculated values
space group: No. 1
N(E_F): 20.67 states/eV per cell

Lattice parameters (Å, degrees): 8.289 8.352 10.450 107.37 107.91 103.16
Atoms (fractional coordinates):
O 0.687 0.938 0.929
O 0.325 0.074 0.058
O 0.216 0.656 0.666
O 0.899 0.167 0.132
O 0.670 0.916 0.423
O 0.172 0.415 0.425
O 0.223 0.473 0.157
O 0.404 0.469 0.675
O 0.755 0.315 0.333
O 0.454 0.696 0.560
O 0.422 0.671 0.132
O 0.585 0.522 0.328
O 0.085 0.030 0.330
O 0.091 0.839 0.866
O 0.281 0.026 0.825
O 0.713 0.152 0.666
O 0.199 0.445 0.932
O 0.774 0.523 0.831
O 0.834 0.582 0.574
O 0.578 0.323 0.857
O 0.790 0.554 0.058
O 0.950 0.200 0.560
O 0.907 0.968 0.671
O 0.287 0.848 0.339
O 0.542 0.314 0.459
O 0.057 0.815 0.457
O 0.707 0.954 0.151
O 0.333 0.091 0.576
Na 0.013 0.505 0.754
Na 0.241 0.256 0.745
Na 0.482 0.991 0.245
Na 0.221 0.235 0.231
Na 0.506 0.987 0.737
Na 0.757 0.761 0.755
Na 0.773 0.750 0.258
Na 0.614 0.310 0.102
Ni 0.553 0.306 0.649
Ni 0.949 0.206 0.366
Ni 0.447 0.697 0.366
Ni 0.056 0.807 0.646
C 0.765 0.017 0.068
C 0.279 0.529 0.071
C 0.719 0.472 0.921
C 0.234 0.981 0.921
P 0.192 0.946 0.425
P 0.309 0.557 0.577
P 0.684 0.438 0.427
P 0.809 0.058 0.577

***

The following is a DFT calculation (GGA+U) of a geometry-optimized Na3Ni2P2C2O14 structure.

Calculated values
space group: No. 1
N(E_F): 13.63 states/eV per cell

Lattice parameters (Å, degrees): 8.329 8.336 10.322 107.32 107.18 103.15
Atoms (fractional coordinates):
Ni 0.692 0.446 0.351
Ni 0.305 0.558 0.645
Ni 0.192 0.948 0.353
Ni 0.804 0.060 0.654
Na 0.492 0.995 0.246
Na 0.992 0.502 0.744
Na 0.761 0.764 0.766
Na 0.742 0.750 0.238
Na 0.281 0.227 0.741
Na 0.019 0.466 0.251
O 0.514 0.773 0.826
O 0.353 0.795 0.340
O 0.984 0.713 0.170
O 0.415 0.163 0.432
O 0.428 0.198 0.950
O 0.842 0.279 0.331
O 0.478 0.418 0.673
O 0.540 0.800 0.056
O 0.093 0.327 0.570
O 0.797 0.069 0.462
O 0.909 0.658 0.416
O 0.074 0.320 0.051
O 0.844 0.087 0.865
O 0.478 0.237 0.185
O 0.316 0.572 0.460
O 0.595 0.844 0.583
O 0.675 0.241 0.677
O 0.953 0.694 0.940
O 0.180 0.938 0.542
O 0.665 0.420 0.141
O 0.169 0.919 0.143
O 0.029 0.264 0.814
O 0.957 0.894 0.663
O 0.997 0.056 0.326
O 0.691 0.447 0.543
O 0.143 0.706 0.660
O 0.544 0.610 0.339
O 0.321 0.576 0.853
C 0.986 0.227 0.917
C 0.519 0.281 0.085
C 0.032 0.771 0.079
C 0.462 0.721 0.918
P 0.559 0.312 0.575
P 0.452 0.706 0.432
P 0.938 0.189 0.425
P 0.048 0.799 0.569

***

The following is a DFT calculation (GGA+U) of a geometry-optimized Na2NiPCO7 structure.

Calculated values
space group: No. 1
N(E_F): 9.49 states/eV per cell

Lattice parameters (Å, degrees): 5.142 6.584 9.012 88.95 88.41 89.39
Atoms (fractional coordinates):
Na 0.794 0.705 0.095
Na 0.251 0.985 0.257
Na 0.749 0.011 0.745
Na 0.751 0.483 0.736
O 0.143 0.241 0.425
O 0.049 0.747 0.872
O 0.326 0.766 0.061
O 0.944 0.259 0.133
O 0.474 0.744 0.825
O 0.526 0.251 0.171
O 0.415 0.771 0.458
O 0.792 0.938 0.318
O 0.207 0.065 0.676
O 0.778 0.565 0.332
O 0.202 0.439 0.665
O 0.584 0.247 0.545
O 0.688 0.248 0.935
O 0.852 0.758 0.572
C 0.717 0.251 0.073
C 0.283 0.753 0.924
Ni 0.214 0.751 0.649
Ni 0.785 0.258 0.348
P 0.713 0.756 0.422
P 0.281 0.250 0.574

***

The following is a DFT calculation (GGA+U) of a geometry-optimized Na3Ni2P2C2O14 structure.

Calculated values
space group: No. 4
N(E_F): 12.38 states/eV per cell

Lattice parameters (Å, degrees): 9.090 10.308 6.538 90.00 90.00 88.40
Atoms (fractional coordinates):
O 0.828 0.735 0.254
O 0.046 0.159 0.259
O 0.141 0.975 0.746
O 0.581 0.427 0.237
O 0.329 0.881 0.065
O 0.146 0.474 0.753
O 0.172 0.765 0.754
O 0.954 0.341 0.759
O 0.187 0.265 0.737
O 0.671 0.619 0.565
O 0.329 0.890 0.440
O 0.671 0.610 0.940
O 0.419 0.073 0.737
O 0.941 0.851 0.752
O 0.059 0.649 0.252
O 0.458 0.212 0.259
O 0.573 0.922 0.253
O 0.665 0.098 0.563
O 0.459 0.700 0.259
O 0.335 0.402 0.063
O 0.541 0.800 0.759
O 0.542 0.288 0.759
O 0.859 0.525 0.246
O 0.427 0.578 0.753
O 0.660 0.093 0.939
O 0.340 0.407 0.439
O 0.854 0.026 0.253
O 0.813 0.235 0.237
P 0.569 0.139 0.750
P 0.431 0.361 0.250
P 0.426 0.851 0.254
P 0.574 0.649 0.754
Ni 0.653 0.604 0.257
Ni 0.357 0.392 0.751
Ni 0.643 0.108 0.251
Ni 0.347 0.896 0.757
C 0.922 0.637 0.250
C 0.078 0.863 0.750
C 0.911 0.141 0.250
C 0.089 0.359 0.750
Na 0.752 0.878 0.514
Na 0.751 0.381 0.956
Na 0.246 0.621 0.493
Na 0.249 0.119 0.456
Na 0.754 0.879 0.993
Na 0.248 0.622 0.014

***

The following is a DFT calculation (GGA+U) of a geometry-optimized Na6Ni2C4SO16 structure.

Calculated values
space group: No. 203
N(E_F): 0.00 states/eV per cell

Lattice parameters (Å, degrees): 9.872 9.872 9.872 60.00 60.00 60.00
Atoms (fractional coordinates):
Ni 0.125 0.125 0.625
Ni 0.125 0.125 0.125
Ni 0.125 0.625 0.125
Ni 0.625 0.125 0.125
O 0.936 0.688 0.688
O 0.319 0.971 0.485
O 0.971 0.319 0.226
O 0.562 0.314 0.562
O 0.485 0.226 0.319
O 0.319 0.226 0.971
O 0.024 0.931 0.765
O 0.226 0.319 0.485
O 0.931 0.024 0.279
O 0.971 0.485 0.319
O 0.319 0.485 0.226
O 0.024 0.279 0.931
O 0.485 0.971 0.226
O 0.279 0.765 0.931
O 0.688 0.688 0.936
O 0.226 0.485 0.971
O 0.765 0.279 0.024
O 0.279 0.024 0.765
O 0.279 0.931 0.024
O 0.931 0.279 0.765
O 0.024 0.765 0.279
O 0.765 0.024 0.931
O 0.562 0.562 0.314
O 0.971 0.226 0.485
O 0.562 0.562 0.562
O 0.688 0.688 0.688
O 0.765 0.931 0.279
O 0.314 0.562 0.562
O 0.931 0.765 0.024
O 0.485 0.319 0.971
O 0.226 0.971 0.319
O 0.688 0.936 0.688
C 0.908 0.277 0.908
C 0.342 0.973 0.342
C 0.277 0.908 0.908
C 0.908 0.908 0.277
C 0.973 0.342 0.342
C 0.908 0.908 0.908
C 0.342 0.342 0.973
C 0.342 0.342 0.342
S 0.500 0.500 0.500
S 0.750 0.750 0.750
Na 0.717 0.283 0.283
Na 0.533 0.967 0.533
Na 0.283 0.717 0.717
Na 0.717 0.717 0.283
Na 0.967 0.533 0.967
Na 0.967 0.533 0.533
Na 0.283 0.283 0.717
Na 0.717 0.283 0.717
Na 0.283 0.717 0.283
Na 0.533 0.967 0.967
Na 0.533 0.533 0.967
Na 0.967 0.967 0.533

***

no.,total DFT energy (no corrections) (eV per atom)
1,-6.243
2,-6.250
3,-6.292
4,-6.251
5,-6.292
6,-6.222